SrNbFeI2, relaxed, DFT PBE; N(E_F) = 6.62 states/eV/cell; raw total energy = -3.677 eV per atom
1.0
5.230 0.000 0.000
0.000 5.230 0.000
0.000 0.000 5.135
Sr Nb Fe I
1 1 1 2
direct
0.000 0.000 0.000 Sr
0.500 0.500 0.000 Nb
0.000 0.000 0.500 Fe
0.000 0.500 0.500 I
0.500 0.000 0.500 I